Material: Ba2NdAg3Bi4
Method: DFT, PBE
State: relaxed

Properties
- Space group: P-4m2 (115)
- Energy of formation from the pure elements: -0.513 eV per atom
- DFT total energy: -3.782 eV per atom

```
10
Lattice="-1.654 0.735 4.743 2.357 -4.246 1.480 10.412 6.685 2.595" Properties=species:S:1:pos:R:3 pbc="T T T"
Bi 0.352 -1.756 3.111
Ba 1.504 1.864 2.953
Nd 5.558 1.587 4.409
Bi 5.911 4.694 4.051
Ag 5.206 3.343 1.298
Bi 4.852 0.236 1.656
Ag 8.290 6.221 4.644
Bi 0.000 0.000 0.000
Ag 2.473 -1.292 1.063
Ba 9.259 3.065 2.754
```